[1]
# TcGeF3 (PBE, relaxed)
data_TcGeF3
_cell_length_a 4.303
_cell_length_b 4.303
_cell_length_c 4.303
_cell_angle_alpha 90.00
_cell_angle_beta 90.00
_cell_angle_gamma 90.00
_symmetry_space_group_name_H-M 'P m -3 m'
_symmetry_Int_Tables_number 221
_symmetry_space_group_name_Hall '-P 4 2 3'
loop_
_atom_site_label
_atom_site_fract_x
_atom_site_fract_y
_atom_site_fract_z
_atom_site_occupancy
Tc1 0.000 0.000 0.000 1
Ge1 0.500 0.500 0.500 1
F1 0.000 0.000 0.500 1
# **Uncorrected energy**: -4.897 eV per atom
# **N(E_F)**: 4.9 states/eV/cell
# **E above lowest polymorph**: 0 meV/atom

[2]
# ZrTcGeF2 (PBE, relaxed)
data_ZrTcGeF2
_cell_length_a 3.966
_cell_length_b 3.966
_cell_length_c 6.086
_cell_angle_alpha 90.00
_cell_angle_beta 90.00
_cell_angle_gamma 90.00
_symmetry_space_group_name_H-M 'P 4/m m m'
_symmetry_Int_Tables_number 123
_symmetry_space_group_name_Hall '-P 4 2'
loop_
_atom_site_label
_atom_site_fract_x
_atom_site_fract_y
_atom_site_fract_z
_atom_site_occupancy
Zr1 0.000 0.000 0.000 1
Tc1 0.500 0.500 0.000 1
Ge1 0.000 0.000 0.500 1
F1 0.000 0.500 0.500 1
# **Uncorrected energy**: -5.758 eV per atom
# **N(E_F)**: 3.2 states/eV/cell

[3]
# GeTeF (PBE, relaxed)
data_GeTeF
_cell_length_a 4.003
_cell_length_b 5.903
_cell_length_c 8.314
_cell_angle_alpha 106.81
_cell_angle_beta 103.88
_cell_angle_gamma 90.01
_symmetry_space_group_name_H-M 'P -1'
_symmetry_Int_Tables_number 2
_symmetry_space_group_name_Hall '-P 1'
loop_
_atom_site_label
_atom_site_fract_x
_atom_site_fract_y
_atom_site_fract_z
_atom_site_occupancy
Ge1 0.078 0.112 0.158 1
Te1 0.364 0.603 0.725 1
F1 0.126 0.876 0.255 1
# **Uncorrected energy**: -4.190 eV per atom
# **E above lowest polymorph**: 0 meV/atom

[4]
# GeTeF (PBE, relaxed)
data_GeTeF
_cell_length_a 3.864
_cell_length_b 3.864
_cell_length_c 12.286
_cell_angle_alpha 90.00
_cell_angle_beta 90.00
_cell_angle_gamma 90.00
_symmetry_space_group_name_H-M 'I 4 m m'
_symmetry_Int_Tables_number 107
_symmetry_space_group_name_Hall 'I 4 -2'
loop_
_atom_site_label
_atom_site_fract_x
_atom_site_fract_y
_atom_site_fract_z
_atom_site_occupancy
Ge1 0.000 0.000 0.000 1
Te1 0.000 0.000 0.567 1
F1 0.000 0.000 0.855 1
# **Uncorrected energy**: -4.153 eV per atom
# **N(E_F)**: 1.0 states/eV/cell
# **E above lowest polymorph**: 37 meV/atom